Density functional theory data (PBE-GGA) for an optimized crystal structure of Pr2ThMg.

Properties
Crystal system ... tetragonal
Space-group type ... P4/mmm (123)
Distance to the lowest polymorph of the same formula ... 0 meV per atom
Formation enthalpy at 0 K ... -44 meV/atom

Lattice parameters (Å, degrees): 3.6684 3.6684 9.5097 90.00 90.00 90.00
With the nearest neighbours (Å) after each atom.
Element x y z (fractional)
Mg 0.5000 0.5000 0.0000  8 Pr 3.47, 4 Mg 3.67
Th 0.5000 0.5000 0.5000  8 Pr 3.57, 4 Th 3.67
Pr 0.0000 0.0000 0.7579  4 Mg 3.47, 4 Th 3.57, 4 Pr 3.67
Pr 0.0000 0.0000 0.2421  4 Mg 3.47, 4 Th 3.57, 4 Pr 3.67


Density functional theory data (PBE-GGA) for an optimized crystal structure of SrLiZn2In2.

Properties
Crystal system ... trigonal
Space-group type ... P-3m1 (164)
Formation enthalpy at 0 K ... -284 meV/atom

Lattice parameters (Å, degrees): 4.6704 4.6704 7.5377 90.00 90.00 120.00
With the nearest neighbours (Å) after each atom.
Element x y z (fractional)
In 0.6667 0.3333 0.3130  4 Zn 2.70-2.95
In 0.3333 0.6667 0.6870  4 Zn 2.70-2.95
Zn 0.6667 0.3333 0.7045  4 In 2.70-2.95
Zn 0.3333 0.6667 0.2955  4 In 2.70-2.95
Sr 0.0000 0.0000 0.0000  6 Zn 3.50, 6 In 3.58, 2 Li 3.77
Li 0.0000 0.0000 0.5000  6 In 3.04, 6 Zn 3.11


Density functional theory data (PBE-GGA) for an optimized crystal structure of Mo2SeS2.

Properties
Crystal system ... tetragonal
Space-group type ... I4/mmm (139)
Final energy ... -6.688 eV/atom

Lattice parameters (Å, degrees): 4.7369 4.7369 6.6057 111.01 111.01 90.00
With the nearest neighbours (Å) after each atom.
Element x y z (fractional)
Mo 0.2988 0.7988 0.0975  1 Se 2.29, 4 S 2.43
Mo 0.7012 0.2012 0.9025  1 Se 2.29, 4 S 2.43
Se 0.5000 0.0000 0.5000  2 Mo 2.29
S 0.2500 0.2500 0.0000  4 Mo 2.43
S 0.7500 0.7500 0.0000  4 Mo 2.43


Density functional theory data (PBE-GGA) for an optimized crystal structure of BiI3.

Properties
Crystal system ... cubic
Space-group type ... Fm-3m (225)
Final energy ... -1.993 eV/atom

Lattice parameters (Å, degrees): 5.7575 5.7575 5.7575 60.00 60.00 60.00
With the nearest neighbours (Å) after each atom.
Element x y z (fractional)
I 0.0000 0.0000 0.0000  8 I 3.53
I 0.2500 0.2500 0.2500  4 Bi 3.53, 4 I 3.53
I 0.7500 0.7500 0.7500  4 Bi 3.53, 4 I 3.53
Bi 0.5000 0.5000 0.5000  8 I 3.53


Density functional theory data (PBE-GGA) for an optimized crystal structure of Mg5In2Ni2Rh.

Properties
Crystal system ... tetragonal
Space-group type ... P4/mbm (127)
Formation enthalpy at 0 K ... -174 meV/atom

Lattice parameters (Å, degrees): 3.2690 10.5830 10.5830 90.00 90.00 90.00
With the nearest neighbours (Å) after each atom.
Element x y z (fractional)
Mg 0.5000 0.3054 0.5577  2 Ni 2.57, 2 Rh 2.70
Mg 0.5000 0.0000 0.5000  4 Ni 2.60
Mg 0.5000 0.1946 0.0577  2 Ni 2.57, 2 Rh 2.70
Mg 0.5000 0.0577 0.8054  2 Ni 2.57, 2 Rh 2.70
Mg 0.5000 0.4423 0.3054  2 Ni 2.57, 2 Rh 2.70
Mg 0.5000 0.9423 0.1946  2 Ni 2.57, 2 Rh 2.70
Mg 0.5000 0.6946 0.4423  2 Ni 2.57, 2 Rh 2.70
Mg 0.5000 0.5577 0.6946  2 Ni 2.57, 2 Rh 2.70
Mg 0.5000 0.8054 0.9423  2 Ni 2.57, 2 Rh 2.70
Mg 0.5000 0.5000 0.0000  4 Ni 2.60
Rh 0.0000 0.5000 0.5000  8 Mg 2.70
Rh 0.0000 0.0000 0.0000  8 Mg 2.70
Ni 0.0000 0.3649 0.1351  6 Mg 2.57-2.60, 1 In 2.79
Ni 0.0000 0.6351 0.8649  6 Mg 2.57-2.60, 1 In 2.79
Ni 0.0000 0.1351 0.6351  6 Mg 2.57-2.60, 1 In 2.79
Ni 0.0000 0.8649 0.3649  6 Mg 2.57-2.60, 1 In 2.79
In 0.0000 0.6783 0.1783  1 Ni 2.79
In 0.0000 0.8217 0.6783  1 Ni 2.79
In 0.0000 0.3217 0.8217  1 Ni 2.79
In 0.0000 0.1783 0.3217  1 Ni 2.79


Density functional theory data (PBE-GGA) for an optimized crystal structure of Na8TiO6.

Properties
Crystal system ... orthorhombic
Space-group type ... Pna2_1 (33)
Distance to the lowest polymorph of the same formula ... 0 meV per atom

Lattice parameters (Å, degrees): 6.5245 9.7006 13.7528 90.00 90.00 90.00
With the nearest neighbours (Å) after each atom.
Element x y z (fractional)
Na 0.5045 0.7567 0.0053  3 O 2.23-2.31
Na 0.0047 0.1705 0.1108  3 O 2.26-2.38
Na 0.0045 0.2567 0.4947  3 O 2.23-2.31
Na 0.9148 0.8210 0.7150  4 O 2.32-2.41
Na 0.7577 0.0326 0.9562  4 O 2.31-2.53
Na 0.2423 0.5326 0.0438  4 O 2.31-2.53
Na 0.0731 0.7203 0.2768  3 O 2.34-2.41
Na 0.7423 0.0326 0.4562  4 O 2.31-2.53
Na 0.1317 0.5377 0.7232  3 O 2.27-2.44
Na 0.1392 0.9937 0.6139  4 O 2.39-2.45, 1 Na 2.62
Na 0.4953 0.1705 0.6108  3 O 2.26-2.38
Na 0.4148 0.3210 0.7850  4 O 2.32-2.41
Na 0.6317 0.0377 0.7768  3 O 2.27-2.44
Na 0.5731 0.2203 0.2232  3 O 2.34-2.41
Na 0.4955 0.2567 0.9947  3 O 2.23-2.31
Na 0.6392 0.4937 0.8861  4 O 2.39-2.45, 1 Na 2.62
Na 0.8608 0.4937 0.3861  4 O 2.39-2.45, 1 Na 2.62
Na 0.8683 0.0377 0.2768  3 O 2.27-2.44
Na 0.5047 0.6705 0.3892  3 O 2.26-2.38
Na 0.9955 0.7567 0.5053  3 O 2.23-2.31
Na 0.2577 0.5326 0.5438  4 O 2.31-2.53
Na 0.5279 0.8272 0.5720  3 O 2.32-2.47
Na 0.9721 0.8272 0.0720  3 O 2.32-2.47
Na 0.5852 0.8210 0.2150  4 O 2.32-2.41
Na 0.4721 0.3272 0.4280  3 O 2.32-2.47
Na 0.3683 0.5377 0.2232  3 O 2.27-2.44
Na 0.9953 0.6705 0.8892  3 O 2.26-2.38
Na 0.0852 0.3210 0.2850  4 O 2.32-2.41
Na 0.9269 0.2203 0.7232  3 O 2.34-2.41
Na 0.0279 0.3272 0.9280  3 O 2.32-2.47
Na 0.4269 0.7203 0.7768  3 O 2.34-2.41
Na 0.3608 0.9937 0.1139  4 O 2.39-2.45, 1 Na 2.62
Ti 0.2220 0.0116 0.8719  4 O 1.83-1.87
Ti 0.7220 0.5115 0.6281  4 O 1.83-1.87
Ti 0.2780 0.0116 0.3719  4 O 1.83-1.87
Ti 0.7780 0.5115 0.1281  4 O 1.83-1.87
O 0.9544 0.4065 0.6156  1 Ti 1.83
O 0.7809 0.2483 0.3649  7 Na 2.31-2.45
O 0.7525 0.6121 0.7432  1 Ti 1.87
O 0.7475 0.6121 0.2432  1 Ti 1.87
O 0.2050 0.1246 0.9805  1 Ti 1.86
O 0.2475 0.1121 0.2568  1 Ti 1.87
O 0.7050 0.6246 0.5195  1 Ti 1.86
O 0.2950 0.1246 0.4805  1 Ti 1.86
O 0.7191 0.2483 0.8649  7 Na 2.31-2.45
O 0.2191 0.7483 0.6351  7 Na 2.31-2.45
O 0.7307 0.0097 0.1239  6 Na 2.30-2.47
O 0.4544 0.9065 0.8844  1 Ti 1.83
O 0.0456 0.9065 0.3844  1 Ti 1.83
O 0.7950 0.6246 0.0195  1 Ti 1.86
O 0.9933 0.9022 0.8707  1 Ti 1.83
O 0.4933 0.4022 0.6293  1 Ti 1.83
O 0.5067 0.9022 0.3707  1 Ti 1.83
O 0.2809 0.7483 0.1351  7 Na 2.31-2.45
O 0.0067 0.4022 0.1293  1 Ti 1.83
O 0.2525 0.1121 0.7568  1 Ti 1.87
O 0.2693 0.5097 0.8761  6 Na 2.30-2.47
O 0.2307 0.5097 0.3761  6 Na 2.30-2.47
O 0.5456 0.4065 0.1156  1 Ti 1.83
O 0.7693 0.0097 0.6239  6 Na 2.30-2.47